Entry 1:
First-principles (PBE-GGA) data for Ta2AgOsPd after structural relaxation, as listed in Alexandria via LeMat-Bulk.

a = 4.7335 Å, b = 4.7249 Å, c = 4.7335 Å
α = 90.00°, β = 90.00°, γ = 90.00°
Closest atoms and distances in Å follow each position.
Sites, in units of the cell vectors:
Ta (0.0000, 0.0000, 0.5000)  2 Pd 2.37
Ag (0.0000, 0.5000, 0.0000)  2 Pd 2.36
Os (0.5000, 0.5000, 0.5000)  8 Ta 3.34, 4 Ag 3.35
Pd (0.0000, 0.0000, 0.0000)  2 Ag 2.36, 4 Ta 2.37
Ta (0.5000, 0.0000, 0.0000)  2 Pd 2.37

=====

Entry 2:
First-principles (PBE-GGA) data for TlAgOs2Pd after structural relaxation, as listed in Alexandria via LeMat-Bulk.

a = 5.0321 Å, b = 4.9854 Å, c = 5.0321 Å
α = 90.00°, β = 90.00°, γ = 90.00°
Closest atoms and distances in Å follow each position.
Sites, in units of the cell vectors:
Pd (0.0000, 0.5000, 0.0000)  2 Tl 2.49
Tl (0.0000, 0.0000, 0.0000)  2 Pd 2.49, 4 Os 2.52
Os (0.0000, 0.0000, 0.5000)  2 Tl 2.52
Os (0.5000, 0.0000, 0.0000)  2 Tl 2.52
Ag (0.5000, 0.5000, 0.5000)  8 Os 3.54, 4 Pd 3.56

=====

N(E_F) readings, ordered: 1.24, 1.33 states/eV per atom
Raw total energy readings, ordered: -34.0, -20.5 eV per cell